Model P:
Compound: AgHgS
Source: Alexandria
Functional: PBE
Structure: optimized geometry

The space group is C2/m (No. 12) and the conventional cell measures 6.958, 4.620 and 8.965 Å, with angles of 90.00, 91.12 and 90.00 degrees. Symmetry generates all atoms from Ag at (0.202, 0.000, 0.091), Hg at (0.119, 0.000, 0.618) and S at (0.122, 0.500, 0.191).



Model Q:
Compound: AgHgS
Source: Alexandria
Functional: PBE
Structure: optimized geometry

The space group is Fmm2 (No. 42) and the conventional cell measures 6.565, 12.575 and 7.368 Å, with angles of 90.00, 90.00 and 90.00 degrees. Symmetry generates all atoms from Ag at (0.227, 0.000, 0.000), Hg at (0.000, 0.176, 0.899) and S at (0.000, 0.143, 0.545).

The value obtained for the density of states at the Fermi level is 2.757 states/eV/cell.



Model R:
Compound: AgHgS
Source: Alexandria
Functional: PBE
Structure: optimized geometry

The space group is Cmc2_1 (No. 36) and the conventional cell measures 4.066, 12.620 and 5.464 Å, with angles of 90.00, 90.00 and 90.00 degrees. Symmetry generates all atoms from Ag at (0.000, 0.033, 0.000), Hg at (0.000, 0.367, 0.826) and S at (0.000, 0.160, 0.661).

The value obtained for the density of states at the Fermi level is 4.760 states/eV/cell.



The structure with the most favorable energy is model P; the runner-up is 59 meV/atom above it.



Model P:
Compound: AgHgS
Source: Alexandria
Functional: PBE
Structure: optimized geometry

The space group is C2/c (No. 15) and the conventional cell measures 8.743, 12.138 and 7.012 Å, with angles of 90.00, 128.40 and 90.00 degrees. Symmetry generates all atoms from Ag at (0.000, 0.000, 0.000), Ag at (0.250, 0.250, 0.000), Hg at (0.179, 0.375, 0.609) and S at (0.225, 0.375, 0.250).

The value obtained for the density of states at the Fermi level is 7.306 states/eV/cell.



Model Q:
Compound: AgHgS
Source: Alexandria
Functional: PBE
Structure: optimized geometry

The space group is P3m1 (No. 156) and the conventional cell measures 3.9768, 3.9768 and 4.7227 Å, with angles of 90.00, 90.00 and 120.00 degrees. Symmetry generates all atoms from Ag at (0.0000, 0.0000, 0.0000), Hg at (0.3333, 0.6667, 0.6179) and S at (0.6667, 0.3333, 0.2735).

The value obtained for the density of states at the Fermi level is 0.973 states/eV/cell.



Model R:
Compound: AgHgS
Source: Alexandria
Functional: PBE
Structure: optimized geometry

The space group is C2/m (No. 12) and the conventional cell measures 9.959, 6.133 and 5.157 Å, with angles of 90.00, 114.27 and 90.00 degrees. Symmetry generates all atoms from Ag at (0.250, 0.250, 0.000), Hg at (0.141, 0.000, 0.405) and S at (0.037, 0.500, 0.836).



The structure with the most favorable energy is model R; the runner-up is 84 meV/atom above it.



Model P:
Compound: Ag2Hg2S
Source: Alexandria
Functional: PBE
Structure: optimized geometry

The space group is P4/mbm (No. 127) and the conventional cell measures 7.347, 7.347 and 4.042 Å, with angles of 90.00, 90.00 and 90.00 degrees. Symmetry generates all atoms from Ag at (0.138, 0.362, 0.000), Hg at (0.158, 0.658, 0.500) and S at (0.000, 0.000, 0.500).

The value obtained for the density of states at the Fermi level is 3.744 states/eV/cell.



Model Q:
Compound: Ag2Hg2S
Source: Alexandria
Functional: PBE
Structure: optimized geometry

The space group is P4/mbm (No. 127) and the conventional cell measures 6.792, 6.792 and 6.001 Å, with angles of 90.00, 90.00 and 90.00 degrees. Symmetry generates all atoms from Ag at (0.235, 0.265, 0.000), Hg at (0.173, 0.327, 0.500) and S at (0.000, 0.000, 0.000).

The value obtained for the density of states at the Fermi level is 0.283 states/eV/cell.



The structure with the most favorable energy is model Q; the runner-up is 190 meV/atom above it.



Model P:
Compound: AgHg2Sb2
Source: Alexandria
Functional: PBE
Structure: optimized geometry

The space group is P4/mbm (No. 127) and the conventional cell measures 7.324, 7.324 and 5.082 Å, with angles of 90.00, 90.00 and 90.00 degrees. Symmetry generates all atoms from Ag at (0.000, 0.000, 0.000), Hg at (0.174, 0.326, 0.500) and Sb at (0.142, 0.642, 0.000).

The value obtained for the density of states at the Fermi level is 7.415 states/eV/cell.



Model Q:
Compound: AgHg2Sb2
Source: Alexandria
Functional: PBE
Structure: optimized geometry

The space group is I4/mmm (No. 139) and the conventional cell measures 3.990, 3.990 and 17.811 Å, with angles of 90.00, 90.00 and 90.00 degrees. Symmetry generates all atoms from Ag at (0.000, 0.000, 0.000), Hg at (0.000, 0.500, 0.250) and Sb at (0.000, 0.000, 0.421).

The value obtained for the density of states at the Fermi level is 4.199 states/eV/cell.



Model R:
Compound: AgHg2Sb2
Source: Alexandria
Functional: PBE
Structure: optimized geometry

The space group is I4/mmm (No. 139) and the conventional cell measures 4.218, 4.218 and 15.770 Å, with angles of 90.00, 90.00 and 90.00 degrees. Symmetry generates all atoms from Ag at (0.000, 0.000, 0.000), Hg at (0.000, 0.000, 0.410) and Sb at (0.000, 0.500, 0.250).

The value obtained for the density of states at the Fermi level is 3.762 states/eV/cell.



The structure with the most favorable energy is model P; the runner-up is 81 meV/atom above it.